Below is BeTe2As after structural relaxation, with properties calculated at the GGA-PBE level.

## Properties
Space-group type: R-3m, No. 166
Raw total energy in eV/cell: -13.52

Cell: 9.044 9.044 9.044 Å, 22.72 22.72 22.72°
Positions (direct):
Be  0.000  0.000  0.000
Te  0.392  0.392  0.392
Te  0.608  0.608  0.608
As  0.500  0.500  0.500

Below is Er6ScS8 after structural relaxation, with properties calculated at the GGA-PBE level.

## Properties
Space-group type: Fm-3m, No. 225
Raw total energy in eV/cell: -97.02

Cell: 7.683 7.683 7.683 Å, 60.00 60.00 60.00°
Positions (direct):
Er  0.000  0.000  0.500
Er  0.000  0.500  0.000
Er  0.000  0.500  0.500
Er  0.500  0.000  0.000
Er  0.500  0.000  0.500
Er  0.500  0.500  0.000
Sc  0.000  0.000  0.000
S  0.245  0.245  0.755
S  0.245  0.755  0.245
S  0.245  0.755  0.755
S  0.250  0.250  0.250
S  0.750  0.750  0.750
S  0.755  0.245  0.245
S  0.755  0.245  0.755
S  0.755  0.755  0.245

Below is HfMg3Si after structural relaxation, with properties calculated at the GGA-PBE level.

## Properties
Space-group type: Pm-3m, No. 221
Raw total energy in eV/cell: -12.45

Cell: 5.512 5.512 5.512 Å, 90.00 90.00 90.00°
Positions (direct):
Hf  0.000  0.000  0.000
Mg  0.000  0.000  0.500
Mg  0.000  0.500  0.000
Mg  0.500  0.000  0.000
Si  0.500  0.500  0.500

Below is Zn2CrRh5 after structural relaxation, with properties calculated at the GGA-PBE level.

## Properties
Space-group type: I4/mmm, No. 139
DFT formation energy in eV/atom: -0.22
Raw total energy in eV/cell: -50.69

Cell: 7.741 7.741 7.741 Å, 150.75 150.75 41.84°
Positions (direct):
Zn  0.250  0.250  0.000
Zn  0.750  0.750  0.000
Cr  0.000  0.000  0.000
Rh  0.124  0.624  0.500
Rh  0.376  0.876  0.500
Rh  0.500  0.500  0.000
Rh  0.624  0.124  0.500
Rh  0.876  0.376  0.500

Below is Tl4PdSe2 after structural relaxation, with properties calculated at the GGA-PBE level.

## Properties
Space-group type: R-3m, No. 166
Raw total energy in eV/cell: -23.71

Cell: 10.629 10.629 10.629 Å, 26.93 26.93 26.93°
Positions (direct):
Tl  0.135  0.135  0.135
Tl  0.294  0.294  0.294
Tl  0.706  0.706  0.706
Tl  0.865  0.865  0.865
Pd  0.500  0.500  0.500
Se  0.417  0.417  0.417
Se  0.583  0.583  0.583

Below is Tl2HI2 after structural relaxation, with properties calculated at the GGA-PBE level.

## Properties
Space-group type: C2/m, No. 12
Raw total energy in eV/cell: -27.12

Cell: 6.797 6.797 8.362 Å, 93.51 93.51 73.60°
Positions (direct):
Tl  0.126  0.640  0.762
Tl  0.360  0.874  0.238
Tl  0.640  0.126  0.762
Tl  0.874  0.360  0.238
H  0.454  0.546  0.500
H  0.546  0.454  0.500
I  0.174  0.174  0.598
I  0.335  0.335  0.098
I  0.665  0.665  0.902
I  0.826  0.826  0.402

Below is Ac6RuPt2Cl2 after structural relaxation, with properties calculated at the GGA-PBE level.

## Properties
Space-group type: C2/m, No. 12
Raw total energy in eV/cell: -61.88

Cell: 7.668 7.668 8.000 Å, 98.92 98.92 120.70°
Positions (direct):
Ac  0.073  0.392  0.212
Ac  0.258  0.258  0.787
Ac  0.392  0.073  0.212
Ac  0.608  0.927  0.788
Ac  0.742  0.742  0.213
Ac  0.927  0.608  0.788
Ru  0.000  0.000  0.000
Pt  0.331  0.669  0.000
Pt  0.669  0.331  0.000
Cl  0.163  0.837  0.500
Cl  0.837  0.163  0.500

Below is Cs3Ag2Pd4 after structural relaxation, with properties calculated at the GGA-PBE level.

## Properties
Space-group type: C2/m, No. 12
DFT formation energy in eV/atom: 0.02
Raw total energy in eV/cell: -28.86

Cell: 6.828 6.828 9.265 Å, 106.20 106.20 40.61°
Positions (direct):
Cs  0.000  0.000  0.000
Cs  0.367  0.367  0.634
Cs  0.633  0.633  0.366
Ag  0.341  0.341  0.228
Ag  0.659  0.659  0.772
Pd  0.078  0.078  0.635
Pd  0.232  0.232  0.922
Pd  0.768  0.768  0.078
Pd  0.922  0.922  0.365

Below is NaMg2P2 after structural relaxation, with properties calculated at the GGA-PBE level.

## Properties
Space-group type: I4/mmm, No. 139
DFT formation energy in eV/atom: -0.42
Raw total energy in eV/cell: -17.42

Cell: 6.369 6.369 6.369 Å, 140.11 140.11 57.68°
Positions (direct):
Na  0.000  0.000  0.000
Mg  0.250  0.750  0.500
Mg  0.750  0.250  0.500
P  0.379  0.379  0.000
P  0.621  0.621  0.000

Below is CdPtSe2 after structural relaxation, with properties calculated at the GGA-PBE level.

## Properties
Space-group type: Cmmm, No. 65
Raw total energy in eV/cell: -14.85

Cell: 5.067 5.067 3.770 Å, 90.00 90.00 113.34°
Positions (direct):
Cd  0.000  0.000  0.000
Pt  0.500  0.500  0.000
Se  0.305  0.695  0.500
Se  0.695  0.305  0.500

Below is NdY3Ho2P6 after structural relaxation, with properties calculated at the GGA-PBE level.

## Properties
Space-group type: C2/m, No. 12
DFT formation energy in eV/atom: -1.60
Raw total energy in eV/cell: -84.99

Cell: 6.983 6.983 6.984 Å, 99.59 99.59 120.00°
Positions (direct):
Nd  0.000  0.000  0.000
Y  0.166  0.834  0.500
Y  0.500  0.500  0.500
Y  0.834  0.166  0.500
Ho  0.333  0.667  0.000
Ho  0.667  0.333  0.000
P  0.084  0.423  0.252
P  0.255  0.255  0.749
P  0.423  0.084  0.252
P  0.577  0.916  0.748
P  0.745  0.745  0.251
P  0.916  0.577  0.748

Below is Ca2BeNbTc after structural relaxation, with properties calculated at the GGA-PBE level.

## Properties
Space-group type: P4/mmm, No. 123
DFT formation energy in eV/atom: 1.18
Raw total energy in eV/cell: -22.28

Cell: 5.068 5.068 4.666 Å, 90.00 90.00 90.00°
Positions (direct):
Ca  0.000  0.500  0.000
Ca  0.500  0.000  0.000
Be  0.000  0.000  0.000
Nb  0.000  0.000  0.500
Tc  0.500  0.500  0.500

Below is NaTeAsP2 after structural relaxation, with properties calculated at the GGA-PBE level.

## Properties
Space-group type: P4/mmm, No. 123
Raw total energy in eV/cell: -17.42

Cell: 4.779 4.779 5.312 Å, 90.00 90.00 90.00°
Positions (direct):
Na  0.000  0.000  0.000
Te  0.500  0.500  0.000
As  0.000  0.000  0.500
P  0.000  0.500  0.500
P  0.500  0.000  0.500

Below is LaPr3Sm6Er2 after structural relaxation, with properties calculated at the GGA-PBE level.

## Properties
Space-group type: C2/m, No. 12
DFT formation energy in eV/atom: 0.02
Raw total energy in eV/cell: -56.46

Cell: 6.305 6.305 12.099 Å, 94.99 94.99 119.99°
Positions (direct):
La  0.000  0.000  0.000
Pr  0.167  0.833  0.500
Pr  0.500  0.500  0.500
Pr  0.833  0.167  0.500
Sm  0.082  0.417  0.247
Sm  0.252  0.252  0.753
Sm  0.417  0.082  0.247
Sm  0.583  0.918  0.753
Sm  0.748  0.748  0.247
Sm  0.918  0.583  0.753
Er  0.333  0.667  0.000
Er  0.667  0.333  0.000

Below is TaCrOs2 after structural relaxation, with properties calculated at the GGA-PBE level.

## Properties
Space-group type: Immm, No. 71
DFT formation energy in eV/atom: 0.08
Raw total energy in eV/cell: -43.63

Cell: 5.229 5.229 5.229 Å, 147.41 129.45 61.45°
Positions (direct):
Ta  0.000  0.000  0.000
Cr  0.500  0.500  0.000
Os  0.277  0.777  0.500
Os  0.723  0.223  0.500

Below is PrAsPd4 after structural relaxation, with properties calculated at the GGA-PBE level.

## Properties
Space-group type: Pmma, No. 51
DFT formation energy in eV/atom: -0.61
Raw total energy in eV/cell: -67.72

Cell: 7.541 4.141 7.135 Å, 90.00 90.00 90.00°
Positions (direct):
Pr  0.250  0.000  0.138
Pr  0.750  0.000  0.862
As  0.250  0.000  0.723
As  0.750  0.000  0.277
Pd  0.000  0.000  0.500
Pd  0.055  0.500  0.802
Pd  0.250  0.500  0.442
Pd  0.445  0.500  0.802
Pd  0.500  0.000  0.500
Pd  0.555  0.500  0.198
Pd  0.750  0.500  0.558
Pd  0.945  0.500  0.198

Below is Mn2CdH after structural relaxation, with properties calculated at the GGA-PBE level.

## Properties
Space-group type: I4_1/amd, No. 141
Raw total energy in eV/cell: -42.83

Cell: 5.363 5.363 5.363 Å, 120.20 120.20 89.65°
Positions (direct):
Mn  0.000  0.000  0.000
Mn  0.000  0.000  0.500
Mn  0.000  0.500  0.000
Mn  0.500  0.000  0.500
Cd  0.375  0.625  0.750
Cd  0.625  0.375  0.250
H  0.125  0.875  0.250
H  0.875  0.125  0.750

Below is CaOsAuC2 after structural relaxation, with properties calculated at the GGA-PBE level.

## Properties
Space-group type: P4/mmm, No. 123
DFT formation energy in eV/atom: 0.69
Raw total energy in eV/cell: -31.52

Cell: 4.004 4.004 5.317 Å, 90.00 90.00 90.00°
Positions (direct):
Ca  0.000  0.000  0.000
Os  0.500  0.500  0.500
Au  0.500  0.500  0.000
C  0.000  0.500  0.500
C  0.500  0.000  0.500

Below is HfAlAg2 after structural relaxation, with properties calculated at the GGA-PBE level.

## Properties
Space-group type: P4/mmm, No. 123
DFT formation energy in eV/atom: -0.02
Raw total energy in eV/cell: -19.47

Cell: 4.236 4.236 4.107 Å, 90.00 90.00 90.00°
Positions (direct):
Hf  0.000  0.000  0.000
Al  0.500  0.500  0.000
Ag  0.000  0.500  0.500
Ag  0.500  0.000  0.500

Below is K2AcTl after structural relaxation, with properties calculated at the GGA-PBE level.

## Properties
Space-group type: R-3m, No. 166
DFT formation energy in eV/atom: 0.21
Raw total energy in eV/cell: -7.83

Cell: 14.015 14.015 14.015 Å, 16.07 16.07 16.07°
Positions (direct):
K  0.095  0.095  0.095
K  0.905  0.905  0.905
Ac  0.000  0.000  0.000
Tl  0.500  0.500  0.500